# MgPaZnCd

A relaxed structure of MgPaZnCd (PBE, the Alexandria database).

Values from the calculation:
Magnetic moment   0.72 μB/f.u.
DFT formation energy   0.33 eV per formula unit

The structure in POSCAR format:
```
MgPaZnCd
1.0
-4.198 2.686 0.379
-2.920 0.652 -4.004
-4.448 -2.267 -0.245
Zn Pa Mg Cd
1 1 1 1
Direct
0.250 0.250 0.250
0.500 0.500 0.500
0.000 0.000 0.000
0.750 0.750 0.750
```

---

# FeB4W

A relaxed structure of FeB4W (PBE, the Alexandria database).

Values from the calculation:
Magnetic moment   0.00 μB/f.u.
DFT formation energy   -0.37 eV per formula unit

The structure in POSCAR format:
```
FeB4W
1.0
3.096 0.000 0.000
0.000 5.713 0.000
0.000 0.000 11.207
Fe B W
4 16 4
Direct
0.000 0.641 0.089
0.000 0.359 0.911
0.000 0.141 0.411
0.000 0.859 0.589
0.500 0.810 0.186
0.500 0.190 0.814
0.500 0.310 0.314
0.500 0.690 0.686
0.500 0.873 0.030
0.500 0.127 0.970
0.500 0.373 0.470
0.500 0.627 0.530
0.500 0.883 0.450
0.500 0.117 0.550
0.500 0.383 0.050
0.500 0.617 0.950
0.500 0.994 0.304
0.500 0.006 0.696
0.500 0.494 0.196
0.500 0.506 0.804
0.000 0.670 0.333
0.000 0.330 0.667
0.000 0.170 0.167
0.000 0.830 0.833
```

---

# Y3NbGa

A relaxed structure of Y3NbGa (PBE, the Alexandria database).

Values from the calculation:
Magnetic moment   4.17 μB/f.u.
DFT formation energy   3.01 eV per formula unit
Excess energy over the best structure of this formula in the dataset   0.08 eV/f.u.

The structure in POSCAR format:
```
Y3NbGa
1.0
5.400 0.000 0.000
0.000 5.400 0.000
0.000 0.000 5.400
Y Nb Ga
3 1 1
Direct
0.000 0.500 0.000
0.000 0.000 0.500
0.500 0.000 0.000
0.500 0.500 0.500
0.000 0.000 0.000
```

---

# CeY2Ta

A relaxed structure of CeY2Ta (PBE, the Alexandria database).

Values from the calculation:
Magnetic moment   0.38 μB/f.u.
DFT formation energy   2.45 eV per formula unit

The structure in POSCAR format:
```
CeY2Ta
1.0
3.232 0.000 0.000
1.616 2.799 0.000
1.616 0.933 11.743
Y Ce Ta
2 1 1
Direct
0.084 0.084 0.748
0.916 0.916 0.252
0.500 0.500 0.500
0.000 0.000 0.000
```

---

# CaAsPdO6

A relaxed structure of CaAsPdO6 (PBE, the Alexandria database).

Values from the calculation:
Magnetic moment   1.03 μB/f.u.
Formation energy from raw total energies   -1.310 eV per atom

The structure in POSCAR format:
```
CaAsPdO6
1.0
-3.706 -3.492 -0.100
-0.450 -3.346 3.813
-3.081 3.200 2.445
Ca As Pd O
1 1 1 6
Direct
0.000 0.000 0.000
0.333 0.333 0.500
0.667 0.667 0.500
0.021 0.357 0.292
0.357 0.021 0.708
0.622 0.357 0.708
0.021 0.622 0.708
0.357 0.622 0.292
0.622 0.021 0.292
```

---

# GaPbI5

A relaxed structure of GaPbI5 (PBE, the Alexandria database).

Values from the calculation:
Magnetic moment   0.00 μB/f.u.
Formation energy from raw total energies   -0.506 eV per atom

The structure in POSCAR format:
```
GaPbI5
1.0
2.044 6.805 -4.389
4.641 -4.556 -5.240
-11.205 -2.446 -1.513
Ga Pb I
2 2 10
Direct
0.890 0.610 0.250
0.110 0.390 0.750
0.500 0.000 0.000
0.500 0.000 0.500
0.775 0.719 0.055
0.225 0.651 0.342
0.391 0.109 0.250
0.782 0.726 0.445
0.218 0.274 0.555
0.849 0.275 0.158
0.151 0.725 0.842
0.609 0.891 0.750
0.775 0.349 0.658
0.225 0.281 0.945
```